(1)
{
  "formula": "Tm5Cu2Ag",
  "functional": "PBE",
  "state": "relaxed",
  "lattice_angstrom": [[-3.847, 3.847, 6.416], [3.847, -3.847, 6.416], [3.847, 3.847, -6.416]],
  "species": ["Tm", "Tm", "Tm", "Tm", "Tm", "Tm", "Tm", "Tm", "Tm", "Tm", "Cu", "Cu", "Cu", "Cu", "Ag", "Ag"],
  "fractional_positions": [[0.000, 0.000, 0.000], [0.018, 0.518, 0.819], [0.198, 0.018, 0.500], [0.302, 0.802, 0.819], [0.482, 0.302, 0.500], [0.500, 0.500, 0.000], [0.518, 0.698, 0.500], [0.698, 0.198, 0.181], [0.802, 0.982, 0.500], [0.982, 0.482, 0.181], [0.126, 0.374, 0.500], [0.374, 0.874, 0.247], [0.626, 0.126, 0.753], [0.874, 0.626, 0.500], [0.250, 0.250, 0.000], [0.750, 0.750, 0.000]],
  "formation_enthalpy_0k_ev_per_atom": -0.195,
  "space_group": "I4/mcm",
  "e_tot_ev_per_fu": -34.96
}


(2)
{
  "formula": "YTmCuAg",
  "functional": "PBE",
  "state": "relaxed",
  "lattice_angstrom": [[3.515, 0.000, 0.000], [0.000, 3.515, 0.000], [0.000, 0.000, 7.154]],
  "species": ["Y", "Tm", "Cu", "Ag"],
  "fractional_positions": [[0.000, 0.000, 0.000], [0.000, 0.000, 0.473], [0.500, 0.500, 0.247], [0.500, 0.500, 0.727]],
  "formation_enthalpy_0k_ev_per_atom": -0.297,
  "space_group": "P4mm",
  "e_tot_ev_per_fu": -19.07
}


(3)
{
  "formula": "YTmCuAg",
  "functional": "PBE",
  "state": "relaxed",
  "lattice_angstrom": [[0.000, 3.544, 3.544], [3.544, 0.000, 3.544], [3.544, 3.544, 0.000]],
  "species": ["Y", "Tm", "Cu", "Ag"],
  "fractional_positions": [[0.000, 0.000, 0.000], [0.500, 0.500, 0.500], [0.750, 0.750, 0.750], [0.250, 0.250, 0.250]],
  "formation_enthalpy_0k_ev_per_atom": -0.276,
  "space_group": "F-43m",
  "e_tot_ev_per_fu": -18.99
}


(4)
{
  "formula": "TmZn5Cu2Ag",
  "functional": "PBE",
  "state": "relaxed",
  "lattice_angstrom": [[4.620, 0.000, 0.000], [0.000, 4.620, 0.000], [0.000, 0.000, 7.137]],
  "species": ["Tm", "Zn", "Zn", "Zn", "Zn", "Zn", "Cu", "Cu", "Ag"],
  "fractional_positions": [[0.000, 0.000, 0.000], [0.000, 0.500, 0.269], [0.000, 0.500, 0.731], [0.500, 0.000, 0.269], [0.500, 0.000, 0.731], [0.500, 0.500, 0.000], [0.500, 0.500, 0.338], [0.500, 0.500, 0.662], [0.000, 0.000, 0.500]],
  "formation_enthalpy_0k_ev_per_atom": -0.004,
  "space_group": "P4/mmm",
  "e_tot_ev_per_fu": -21.92
}


(5)
{
  "formula": "Tm2Zn12Cu3Ag",
  "functional": "PBE",
  "state": "relaxed",
  "lattice_angstrom": [[4.400, 2.541, 5.492], [-4.400, 2.541, 5.492], [0.000, -5.081, 5.492]],
  "species": ["Tm", "Tm", "Zn", "Zn", "Zn", "Zn", "Zn", "Zn", "Zn", "Zn", "Zn", "Zn", "Zn", "Zn", "Cu", "Cu", "Cu", "Ag"],
  "fractional_positions": [[0.102, 0.102, 0.102], [0.898, 0.898, 0.898], [0.134, 0.649, 0.649], [0.198, 0.198, 0.673], [0.198, 0.673, 0.198], [0.327, 0.802, 0.802], [0.351, 0.351, 0.866], [0.351, 0.866, 0.351], [0.649, 0.134, 0.649], [0.649, 0.649, 0.134], [0.673, 0.198, 0.198], [0.802, 0.327, 0.802], [0.802, 0.802, 0.327], [0.866, 0.351, 0.351], [0.000, 0.500, 0.500], [0.500, 0.000, 0.500], [0.500, 0.500, 0.000], [0.500, 0.500, 0.500]],
  "formation_enthalpy_0k_ev_per_atom": 0.224,
  "space_group": "R-3m",
  "e_tot_ev_per_fu": -35.33
}


(6)
{
  "formula": "TmZnCuAg",
  "functional": "PBE",
  "state": "relaxed",
  "lattice_angstrom": [[0.000, 3.307, 3.307], [3.307, 0.000, 3.307], [3.307, 3.307, 0.000]],
  "species": ["Tm", "Zn", "Cu", "Ag"],
  "fractional_positions": [[0.000, 0.000, 0.000], [0.500, 0.500, 0.500], [0.750, 0.750, 0.750], [0.250, 0.250, 0.250]],
  "formation_enthalpy_0k_ev_per_atom": -0.189,
  "space_group": "F-43m",
  "e_tot_ev_per_fu": -13.45
}


(7)
{
  "formula": "VCu4Ag",
  "functional": "PBE",
  "state": "relaxed",
  "lattice_angstrom": [[0.000, 3.450, 3.450], [3.450, 0.000, 3.450], [3.450, 3.450, 0.000]],
  "species": ["V", "Cu", "Cu", "Cu", "Cu", "Ag"],
  "fractional_positions": [[0.000, 0.000, 0.000], [0.124, 0.625, 0.625], [0.625, 0.124, 0.625], [0.625, 0.625, 0.124], [0.625, 0.625, 0.625], [0.250, 0.250, 0.250]],
  "formation_enthalpy_0k_ev_per_atom": 0.184,
  "space_group": "F-43m",
  "e_tot_ev_per_fu": -27.25
}


(8)
{
  "formula": "VCuAg3",
  "functional": "PBE",
  "state": "relaxed",
  "lattice_angstrom": [[4.744, 0.000, 0.000], [0.000, 4.744, 0.000], [0.000, 0.000, 4.744]],
  "species": ["V", "Cu", "Ag", "Ag", "Ag"],
  "fractional_positions": [[0.000, 0.000, 0.000], [0.500, 0.500, 0.500], [0.000, 0.500, 0.500], [0.500, 0.000, 0.500], [0.500, 0.500, 0.000]],
  "formation_enthalpy_0k_ev_per_atom": 0.903,
  "space_group": "Pm-3m",
  "e_tot_ev_per_fu": -17.25
}


(9)
{
  "formula": "V2Cu2Ag",
  "functional": "PBE",
  "state": "relaxed",
  "lattice_angstrom": [[7.195, 0.000, 0.000], [0.000, 7.195, 0.000], [0.000, 0.000, 2.708]],
  "species": ["V", "V", "V", "V", "Cu", "Cu", "Cu", "Cu", "Ag", "Ag"],
  "fractional_positions": [[0.172, 0.328, 0.000], [0.328, 0.828, 0.000], [0.672, 0.172, 0.000], [0.828, 0.672, 0.000], [0.123, 0.623, 0.500], [0.377, 0.123, 0.500], [0.623, 0.877, 0.500], [0.877, 0.377, 0.500], [0.000, 0.000, 0.500], [0.500, 0.500, 0.500]],
  "formation_enthalpy_0k_ev_per_atom": 0.345,
  "space_group": "P4/mbm",
  "e_tot_ev_per_fu": -27.56
}


(10)
{
  "formula": "VCuAg2",
  "functional": "PBE",
  "state": "relaxed",
  "lattice_angstrom": [[1.367, 0.789, 9.916], [-1.367, 0.789, 9.916], [0.000, -1.579, 9.916]],
  "species": ["V", "Cu", "Ag", "Ag"],
  "fractional_positions": [[0.000, 0.000, 0.000], [0.500, 0.500, 0.500], [0.090, 0.090, 0.090], [0.910, 0.910, 0.910]],
  "formation_enthalpy_0k_ev_per_atom": 0.466,
  "space_group": "R-3m",
  "e_tot_ev_per_fu": -17.05
}


(11)
{
  "formula": "V3CuAg",
  "functional": "PBE",
  "state": "relaxed",
  "lattice_angstrom": [[4.863, 0.000, 0.000], [0.000, 4.863, 0.000], [0.000, 0.000, 4.863]],
  "species": ["V", "V", "V", "Cu", "Ag"],
  "fractional_positions": [[0.000, 0.000, 0.500], [0.000, 0.500, 0.000], [0.500, 0.000, 0.000], [0.500, 0.500, 0.500], [0.000, 0.000, 0.000]],
  "formation_enthalpy_0k_ev_per_atom": 1.865,
  "space_group": "Pm-3m",
  "e_tot_ev_per_fu": -24.98
}


(12)
{
  "formula": "VCu2Ag2",
  "functional": "PBE",
  "state": "relaxed",
  "lattice_angstrom": [[7.199, 0.000, 0.000], [0.000, 7.199, 0.000], [0.000, 0.000, 3.033]],
  "species": ["V", "V", "Cu", "Cu", "Cu", "Cu", "Ag", "Ag", "Ag", "Ag"],
  "fractional_positions": [[0.000, 0.000, 0.000], [0.500, 0.500, 0.000], [0.123, 0.377, 0.000], [0.377, 0.877, 0.000], [0.623, 0.123, 0.000], [0.877, 0.623, 0.000], [0.175, 0.675, 0.500], [0.325, 0.175, 0.500], [0.675, 0.825, 0.500], [0.825, 0.325, 0.500]],
  "formation_enthalpy_0k_ev_per_atom": 0.374,
  "space_group": "P4/mbm",
  "e_tot_ev_per_fu": -21.14
}


Number 1: DOS(E_F) 18.47 states/eV per cell. Number 2: DOS(E_F) 2.59 states/eV per cell. Number 3: DOS(E_F) 2.48 states/eV per cell. Number 4: DOS(E_F) 2.80 states/eV per cell. Number 5: DOS(E_F) 7.48 states/eV per cell. Number 6: DOS(E_F) 3.93 states/eV per cell. Number 7: DOS(E_F) 7.43 states/eV per cell. Number 8: DOS(E_F) 4.84 states/eV per cell. Number 9: DOS(E_F) 11.42 states/eV per cell. Number 10: DOS(E_F) 2.11 states/eV per cell. Number 11: DOS(E_F) 12.68 states/eV per cell. Number 12: DOS(E_F) 6.28 states/eV per cell.